A plane-wave DFT calculation with PBE was carried out for Ac2Ge2Pb3 after structural relaxation.

```
data_Ac2Ge2Pb3
_cell_length_a 4.182
_cell_length_b 22.964
_cell_length_c 4.483
_cell_angle_alpha 90.00
_cell_angle_beta 90.00
_cell_angle_gamma 90.00
_symmetry_space_group_name_H-M 'C m m m'
_symmetry_Int_Tables_number 65
_symmetry_space_group_name_Hall '-C 2 2'
loop_
_atom_site_label
_atom_site_type_symbol
_atom_site_fract_x
_atom_site_fract_y
_atom_site_fract_z
Ac1 Ac 0.000 0.167 0.000
Ge1 Ge 0.000 0.284 0.500
Pb1 Pb 0.000 0.000 0.000
Pb2 Pb 0.000 0.429 0.500
```

Computed properties:
- Formation energy from the elements: -3.105 eV per formula unit
- E above lowest polymorph: 0.011 eV/atom
- Calculated density: 9.418 g cm⁻³
- Fermi-level density of states: 4.904 states/eV/f.u.

=====

A plane-wave DFT calculation with PBE was carried out for Pm3PrSc2Te6 after structural relaxation.

```
data_Pm3PrSc2Te6
_cell_length_a 19.101
_cell_length_b 4.354
_cell_length_c 8.822
_cell_angle_alpha 90.00
_cell_angle_beta 103.13
_cell_angle_gamma 90.00
_symmetry_space_group_name_H-M 'C 1 2/m 1'
_symmetry_Int_Tables_number 12
loop_
_symmetry_equiv_pos_as_xyz
'x,y,z'
'-x,-y,-z'
'-x,y,-z'
'x,-y,z'
'x+1/2,y+1/2,z'
'-x+1/2,-y+1/2,-z'
'-x+1/2,y+1/2,-z'
'x+1/2,-y+1/2,z'
loop_
_atom_site_label
_atom_site_type_symbol
_atom_site_fract_x
_atom_site_fract_y
_atom_site_fract_z
Pm1 Pm 0.000 0.000 0.000
Pm2 Pm 0.157 0.500 0.331
Pr1 Pr 0.000 0.000 0.500
Sc1 Sc 0.165 0.500 0.831
Te1 Te 0.010 0.500 0.758
Te2 Te 0.173 0.000 0.072
Te3 Te 0.173 0.000 0.602
```

Computed properties:
- Calculated density: 6.654 g cm⁻³
- Uncorrected formation energy: -1.2961 eV per atom
- Fermi-level density of states: 7.554 states/eV/f.u.

=====

A plane-wave DFT calculation with PBE was carried out for AsIrBr2O after structural relaxation.

```
data_AsIrBr2O
_cell_length_a 5.118
_cell_length_b 5.118
_cell_length_c 4.666
_cell_angle_alpha 90.00
_cell_angle_beta 90.00
_cell_angle_gamma 90.00
_symmetry_space_group_name_H-M 'P 4/m m m'
_symmetry_Int_Tables_number 123
_symmetry_space_group_name_Hall '-P 4 2'
loop_
_atom_site_label
_atom_site_type_symbol
_atom_site_fract_x
_atom_site_fract_y
_atom_site_fract_z
As1 As 0.000 0.000 0.000
Ir1 Ir 0.000 0.000 0.500
Br1 Br 0.000 0.500 0.500
O1 O 0.500 0.500 0.000
```

Computed properties:
- E above lowest polymorph: 0.000 eV/atom
- Calculated density: 6.018 g cm⁻³
- Uncorrected formation energy: 0.9495 eV per atom
- Fermi-level density of states: 11.004 states/eV/f.u.

=====

A plane-wave DFT calculation with PBE was carried out for Sm2ErZn after structural relaxation.

```
data_Sm2ErZn
_cell_length_a 7.618
_cell_length_b 7.618
_cell_length_c 7.618
_cell_angle_alpha 90.00
_cell_angle_beta 90.00
_cell_angle_gamma 90.00
_symmetry_space_group_name_H-M 'F m -3 m'
_symmetry_Int_Tables_number 225
_symmetry_space_group_name_Hall '-F 4 2 3'
loop_
_atom_site_label
_atom_site_type_symbol
_atom_site_fract_x
_atom_site_fract_y
_atom_site_fract_z
Sm1 Sm 0.250 0.250 0.250
Er1 Er 0.000 0.000 0.000
Zn1 Zn 0.000 0.000 0.500
```

Computed properties:
- Formation energy from the elements: 0.105 eV per formula unit
- E above lowest polymorph: 0.183 eV/atom
- Calculated density: 8.015 g cm⁻³
- Fermi-level density of states: 4.863 states/eV/f.u.

=====

A plane-wave DFT calculation with PBE was carried out for La3Pr6Tm after structural relaxation.

```
data_La3Pr6Tm
_cell_length_a 13.702
_cell_length_b 16.483
_cell_length_c 6.441
_cell_angle_alpha 90.00
_cell_angle_beta 90.00
_cell_angle_gamma 90.00
_symmetry_space_group_name_H-M 'C m c 21'
_symmetry_Int_Tables_number 36
loop_
_symmetry_equiv_pos_as_xyz
'x,y,z'
'-x,-y,z+1/2'
'-x,y,z'
'x,-y,z+1/2'
'x+1/2,y+1/2,z'
'-x+1/2,-y+1/2,z+1/2'
'-x+1/2,y+1/2,z'
'x+1/2,-y+1/2,z+1/2'
loop_
_atom_site_label
_atom_site_type_symbol
_atom_site_fract_x
_atom_site_fract_y
_atom_site_fract_z
La1 La 0.000 0.137 0.000
La2 La 0.206 0.428 0.638
Pr1 Pr 0.000 0.242 0.480
Pr2 Pr 0.000 0.439 0.367
Pr3 Pr 0.119 0.059 0.517
Pr4 Pr 0.224 0.291 0.186
Tm1 Tm 0.000 0.349 0.915
```

Computed properties:
- Formation energy from the elements: 1.614 eV per formula unit
- Calculated density: 6.535 g cm⁻³
- Fermi-level density of states: 14.189 states/eV/f.u.

=====

A plane-wave DFT calculation with PBE was carried out for PrTeS2 after structural relaxation.

```
data_PrTeS2
_cell_length_a 4.2106
_cell_length_b 4.2106
_cell_length_c 24.7264
_cell_angle_alpha 90.00
_cell_angle_beta 90.00
_cell_angle_gamma 120.00
_symmetry_space_group_name_H-M 'R -3 m'
_symmetry_Int_Tables_number 166
_symmetry_space_group_name_Hall '-R 3 2"'
loop_
_atom_site_label
_atom_site_type_symbol
_atom_site_fract_x
_atom_site_fract_y
_atom_site_fract_z
Pr1 Pr 0.0000 0.0000 0.0000
Te1 Te 0.0000 0.0000 0.5000
S1 S 0.0000 0.0000 0.1132
```

Computed properties:
- Calculated density: 4.365 g cm⁻³
- Uncorrected formation energy: -0.0426 eV per atom
- Fermi-level density of states: 4.466 states/eV/f.u.

=====

A plane-wave DFT calculation with PBE was carried out for Zn3Cu4Ni after structural relaxation.

```
data_Zn3Cu4Ni
_cell_length_a 3.481
_cell_length_b 3.788
_cell_length_c 15.163
_cell_angle_alpha 90.00
_cell_angle_beta 90.00
_cell_angle_gamma 90.00
_symmetry_space_group_name_H-M 'I m m m'
_symmetry_Int_Tables_number 71
_symmetry_space_group_name_Hall '-I 2 2'
loop_
_atom_site_label
_atom_site_type_symbol
_atom_site_fract_x
_atom_site_fract_y
_atom_site_fract_z
Zn1 Zn 0.000 0.000 0.000
Zn2 Zn 0.000 0.500 0.126
Cu1 Cu 0.000 0.000 0.252
Cu2 Cu 0.000 0.500 0.375
Ni1 Ni 0.000 0.000 0.500
```

Computed properties:
- Formation energy from the elements: -0.916 eV per formula unit
- E above lowest polymorph: 0.000 eV/atom
- Calculated density: 8.456 g cm⁻³
- Fermi-level density of states: 3.032 states/eV/f.u.

=====

A plane-wave DFT calculation with PBE was carried out for K3Tl3As2 after structural relaxation.

```
data_K3Tl3As2
_cell_length_a 9.262
_cell_length_b 17.296
_cell_length_c 6.816
_cell_angle_alpha 90.00
_cell_angle_beta 90.00
_cell_angle_gamma 90.00
_symmetry_space_group_name_H-M 'P n m a'
_symmetry_Int_Tables_number 62
loop_
_symmetry_equiv_pos_as_xyz
'x,y,z'
'-x,-y,-z'
'-x+1/2,-y,z+1/2'
'x+1/2,y,-z+1/2'
'x+1/2,-y+1/2,-z+1/2'
'-x+1/2,y+1/2,z+1/2'
'-x,y+1/2,-z'
'x,-y+1/2,z'
loop_
_atom_site_label
_atom_site_type_symbol
_atom_site_fract_x
_atom_site_fract_y
_atom_site_fract_z
K1 K 0.040 0.107 0.071
K2 K 0.184 0.250 0.643
Tl1 Tl 0.154 0.750 0.652
Tl2 Tl 0.181 0.046 0.527
As1 As 0.106 0.615 0.408
```

Computed properties:
- Formation energy from the elements: -1.831 eV per formula unit
- Calculated density: 5.355 g cm⁻³
- Fermi-level density of states: 2.024 states/eV/f.u.

=====

A plane-wave DFT calculation with PBE was carried out for AcTe2Se after structural relaxation.

```
data_AcTe2Se
_cell_length_a 4.9852
_cell_length_b 4.9852
_cell_length_c 26.6463
_cell_angle_alpha 90.00
_cell_angle_beta 90.00
_cell_angle_gamma 120.00
_symmetry_space_group_name_H-M 'R -3 m'
_symmetry_Int_Tables_number 166
_symmetry_space_group_name_Hall '-R 3 2"'
loop_
_atom_site_label
_atom_site_type_symbol
_atom_site_fract_x
_atom_site_fract_y
_atom_site_fract_z
Ac1 Ac 0.0000 0.0000 0.0000
Te1 Te 0.0000 0.0000 0.3971
Se1 Se 0.0000 0.0000 0.5000
```

Computed properties:
- E above lowest polymorph: 0.619 eV/atom
- Calculated density: 4.875 g cm⁻³
- Uncorrected formation energy: -0.6355 eV per atom
- Fermi-level density of states: 4.231 states/eV/f.u.

=====

A plane-wave DFT calculation with PBE was carried out for TlPd5Au4 after structural relaxation.

```
data_TlPd5Au4
_cell_length_a 3.343
_cell_length_b 3.343
_cell_length_c 15.384
_cell_angle_alpha 90.00
_cell_angle_beta 90.00
_cell_angle_gamma 90.00
_symmetry_space_group_name_H-M 'P 4/m m m'
_symmetry_Int_Tables_number 123
_symmetry_space_group_name_Hall '-P 4 2'
loop_
_atom_site_label
_atom_site_type_symbol
_atom_site_fract_x
_atom_site_fract_y
_atom_site_fract_z
Tl1 Tl 0.000 0.000 0.000
Pd1 Pd 0.500 0.500 0.103
Pd2 Pd 0.500 0.500 0.303
Pd3 Pd 0.500 0.500 0.500
Au1 Au 0.000 0.000 0.206
Au2 Au 0.000 0.000 0.402
```

Computed properties:
- Formation energy from the elements: -0.939 eV per formula unit
- E above lowest polymorph: 0.000 eV/atom
- Calculated density: 14.725 g cm⁻³
- Fermi-level density of states: 4.391 states/eV/f.u.

=====

Copy entry 7 word for word.
A plane-wave DFT calculation with PBE was carried out for Zn3Cu4Ni after structural relaxation.

```
data_Zn3Cu4Ni
_cell_length_a 3.481
_cell_length_b 3.788
_cell_length_c 15.163
_cell_angle_alpha 90.00
_cell_angle_beta 90.00
_cell_angle_gamma 90.00
_symmetry_space_group_name_H-M 'I m m m'
_symmetry_Int_Tables_number 71
_symmetry_space_group_name_Hall '-I 2 2'
loop_
_atom_site_label
_atom_site_type_symbol
_atom_site_fract_x
_atom_site_fract_y
_atom_site_fract_z
Zn1 Zn 0.000 0.000 0.000
Zn2 Zn 0.000 0.500 0.126
Cu1 Cu 0.000 0.000 0.252
Cu2 Cu 0.000 0.500 0.375
Ni1 Ni 0.000 0.000 0.500
```

Computed properties:
- Formation energy from the elements: -0.916 eV per formula unit
- E above lowest polymorph: 0.000 eV/atom
- Calculated density: 8.456 g cm⁻³
- Fermi-level density of states: 3.032 states/eV/f.u.

=====

Which value of calculated density does entry 5 give?
6.535 g cm⁻³